Entry 1:
Material: MnGaOs
Method: DFT, PBE
State: relaxed

The structure in CIF format:
```
data_MnGaOs
_cell_length_a 2.764
_cell_length_b 2.764
_cell_length_c 5.550
_cell_angle_alpha 104.42
_cell_angle_beta 104.42
_cell_angle_gamma 90.00
_symmetry_space_group_name_H-M 'P 1'
_symmetry_Int_Tables_number 1
_symmetry_space_group_name_Hall 'P 1'
loop_
_atom_site_label
_atom_site_type_symbol
_atom_site_fract_x
_atom_site_fract_y
_atom_site_fract_z
Ga1 Ga 0.006 0.006 0.013
Mn1 Mn 0.672 0.672 0.344
Os1 Os 0.322 0.322 0.643
```

Space-group type: I4mm (107)
Calculated volume: 39.7 Å³/cell
VASP energy: -7.840 eV/atom
ΔE_f: -0.73 kcal/mol of atoms

---

Entry 2:
Material: Y3Ag4Hg4
Method: DFT, PBE
State: relaxed

The structure in CIF format:
```
data_Y3Ag4Hg4
_cell_length_a 3.410
_cell_length_b 4.872
_cell_length_c 15.390
_cell_angle_alpha 80.82
_cell_angle_beta 83.66
_cell_angle_gamma 89.96
_symmetry_space_group_name_H-M 'P 1'
_symmetry_Int_Tables_number 1
_symmetry_space_group_name_Hall 'P 1'
loop_
_atom_site_label
_atom_site_type_symbol
_atom_site_fract_x
_atom_site_fract_y
_atom_site_fract_z
Hg1 Hg 0.548 0.548 0.904
Hg2 Hg 0.685 0.185 0.630
Hg3 Hg 0.452 0.452 0.096
Hg4 Hg 0.315 0.815 0.370
Ag1 Ag 0.408 0.907 0.185
Ag2 Ag 0.735 0.735 0.531
Ag3 Ag 0.592 0.093 0.815
Ag4 Ag 0.265 0.265 0.469
Y1 Y 0.860 0.360 0.279
Y2 Y 0.000 0.000 0.000
Y3 Y 0.140 0.640 0.721
```

Space-group type: C2/m (12)
Calculated volume: 250.8 Å³/cell
Energy above the lowest structure with this stoichiometry: 0.000 eV per atom
VASP energy: -3.190 eV/atom
ΔE_f: -6.48 kcal/mol of atoms

---

Entry 3:
Material: TaTeW2
Method: DFT, PBE
State: relaxed

The structure in CIF format:
```
data_TaTeW2
_cell_length_a 2.940
_cell_length_b 2.940
_cell_length_c 9.428
_cell_angle_alpha 90.00
_cell_angle_beta 90.00
_cell_angle_gamma 111.93
_symmetry_space_group_name_H-M 'P 1'
_symmetry_Int_Tables_number 1
_symmetry_space_group_name_Hall 'P 1'
loop_
_atom_site_label
_atom_site_type_symbol
_atom_site_fract_x
_atom_site_fract_y
_atom_site_fract_z
Te1 Te 0.500 0.500 0.740
W1 W 0.500 0.500 0.246
W2 W 0.000 0.000 0.030
Ta1 Ta 0.000 0.000 0.483
```

Space-group type: Cmm2 (35)
Calculated volume: 75.6 Å³/cell
E_form (uncorrected): 0.54 eV/atom
VASP energy: -9.681 eV/atom

---

Entry 4:
Material: ZrCr2Cd
Method: DFT, PBE
State: relaxed

The structure in CIF format:
```
data_ZrCr2Cd
_cell_length_a 4.567
_cell_length_b 2.899
_cell_length_c 5.438
_cell_angle_alpha 84.20
_cell_angle_beta 90.00
_cell_angle_gamma 90.00
_symmetry_space_group_name_H-M 'P 1'
_symmetry_Int_Tables_number 1
_symmetry_space_group_name_Hall 'P 1'
loop_
_atom_site_label
_atom_site_type_symbol
_atom_site_fract_x
_atom_site_fract_y
_atom_site_fract_z
Cd1 Cd 0.500 0.750 0.750
Cr1 Cr 0.000 0.919 0.073
Cr2 Cr 0.000 0.581 0.427
Zr1 Zr 0.500 0.250 0.250
```

Space-group type: P2/m (10)
Calculated volume: 71.6 Å³/cell
VASP energy: -6.716 eV/atom
ΔE_f: 10.65 kcal/mol of atoms

---

Entry 5:
Material: Sm4Ag2Pd
Method: DFT, PBE
State: relaxed

The structure in CIF format:
```
data_Sm4Ag2Pd
_cell_length_a 5.147
_cell_length_b 5.147
_cell_length_c 8.929
_cell_angle_alpha 73.25
_cell_angle_beta 73.25
_cell_angle_gamma 60.00
_symmetry_space_group_name_H-M 'P 1'
_symmetry_Int_Tables_number 1
_symmetry_space_group_name_Hall 'P 1'
loop_
_atom_site_label
_atom_site_type_symbol
_atom_site_fract_x
_atom_site_fract_y
_atom_site_fract_z
Ag1 Ag 0.754 0.754 0.739
Ag2 Ag 0.246 0.246 0.261
Sm1 Sm 0.373 0.373 0.880
Sm2 Sm 0.877 0.877 0.370
Sm3 Sm 0.123 0.123 0.630
Sm4 Sm 0.627 0.627 0.120
Pd1 Pd 0.000 0.000 0.000
```

Space-group type: R-3m (166)
Calculated volume: 193.1 Å³/cell
VASP energy: -4.523 eV/atom
ΔE_f: -6.22 kcal/mol of atoms

---

Entry 6:
Material: CaTi2ZnCl
Method: DFT, PBE
State: relaxed

The structure in CIF format:
```
data_CaTi2ZnCl
_cell_length_a 5.709
_cell_length_b 4.993
_cell_length_c 5.709
_cell_angle_alpha 90.00
_cell_angle_beta 90.00
_cell_angle_gamma 90.00
_symmetry_space_group_name_H-M 'P 1'
_symmetry_Int_Tables_number 1
_symmetry_space_group_name_Hall 'P 1'
loop_
_atom_site_label
_atom_site_type_symbol
_atom_site_fract_x
_atom_site_fract_y
_atom_site_fract_z
Ti1 Ti 0.500 0.000 0.000
Ti2 Ti 0.000 0.000 0.500
Ca1 Ca 0.000 0.000 0.000
Zn1 Zn 0.500 0.500 0.500
Cl1 Cl 0.000 0.500 0.000
```

Space-group type: P4/mmm (123)
Calculated volume: 162.7 Å³/cell
E_form (uncorrected): 1.12 eV/atom
VASP energy: -3.058 eV/atom